Density functional theory data (PBE) for a relaxed structure of Rb2LaTbSe4.

Summary:
DFT total energy	-4.952	eV/atom
volume	33.0	Å³ per atom
E_form (uncorrected)	-1.7733	eV per atom
SG	P2/m
total moment	0.0	μB/f.u.

Lattice parameters (Å, degrees): 4.364 7.562 8.390 107.44 90.00 90.00
Sites, in units of the cell vectors:
1 Rb 0.500 0.000 0.500
2 Rb 0.000 0.500 0.500
3 La 0.500 0.500 0.000
4 Tb 0.000 0.000 0.000
5 Se 0.500 0.223 0.197
6 Se 0.500 0.777 0.803
7 Se 0.000 0.257 0.800
8 Se 0.000 0.743 0.200



Density functional theory data (PBE) for a relaxed structure of Li2TiIF.

Summary:
DFT total energy	-3.022	eV/atom
volume	33.8	Å³ per atom
E_form (uncorrected)	0.0070	eV per atom
SG	P4/mmm
total moment	2.0	μB/f.u.

Lattice parameters (Å, degrees): 5.738 5.131 5.738 90.00 90.00 90.00
Sites, in units of the cell vectors:
1 I 0.000 0.500 0.000
2 F 0.500 0.500 0.500
3 Li 0.000 0.000 0.500
4 Li 0.500 0.000 0.000
5 Ti 0.000 0.000 0.000



Density functional theory data (PBE) for a relaxed structure of KCrMo.

Summary:
DFT total energy	-6.188	eV/atom
energy above the most stable polymorph in this dataset	0	meV/atom
volume	23.2	Å³ per atom
formation enthalpy at 0 K	1.00	eV/atom
SG	I4mm
total moment	1.2	μB/f.u.

Lattice parameters (Å, degrees): 7.229 7.229 7.229 154.56 154.56 36.29
Sites, in units of the cell vectors:
1 Cr 0.044 0.044 0.000
2 K 0.338 0.338 0.000
3 Mo 0.618 0.618 0.000



Density functional theory data (PBE) for a relaxed structure of Tl3CdH8.

Summary:
DFT total energy	-2.809	eV/atom
volume	21.9	Å³ per atom
SG	Cm
total moment	0.0	μB/f.u.

Lattice parameters (Å, degrees): 8.804 6.078 8.142 80.22 46.35 105.18
Sites, in units of the cell vectors:
1 Tl 0.649 0.500 0.673
2 Tl 0.149 0.500 0.173
3 Tl 0.589 0.000 0.571
4 Cd 0.107 0.000 0.101
5 H 0.023 0.000 0.755
6 H 0.504 0.509 0.230
7 H 0.995 0.491 0.740
8 H 0.460 0.000 0.190
9 H 0.969 0.000 0.713
10 H 0.531 0.504 0.300
11 H 0.027 0.496 0.804
12 H 0.496 0.000 0.251